First-principles (PBE) data for a relaxed structure of InPt2I, as listed in Alexandria.

The space group is Fm-3m (No. 225) and the conventional cell measures 6.860, 6.860 and 6.860 Å, with angles of 90.00, 90.00 and 90.00 degrees. The distinct sites, in fractional coordinates, are In at (0.000, 0.000, 0.000), Pt at (0.250, 0.250, 0.250) and I at (0.000, 0.000, 0.500).

The value obtained for the volume is 322.8 Å³ per cell. As for the raw total energy: -3.82 eV/atom. The theoretical density is 13.002 Mg/m³. The formation energy from raw total energies is 269 meV/atom. The calculation puts the offset from the most stable computed form at 55.2 meV/atom. For the magnetization, the calculation gives 0.00 Bohr magnetons per cell. The value obtained for the density of states at the Fermi level is 2.108 states/eV/cell.